Material: La2SmMnS5
Method: DFT, PBE
State: relaxed

Calculated values
ΔE_f (raw) ... -1.8036 eV per atom
E ... -0.2475 Ha/atom
Space group ... Cmc2_1, No. 36
Total magnetization ... 4.341 μB per formula unit

a b c (Å): 8.6394 8.6394 12.2091
angles (deg): 90.00 90.00 153.18
Sites, in units of the cell vectors:
La 0.1183 0.8817 0.5000
La 0.1241 0.8759 0.1513
La 0.8759 0.1241 0.6513
La 0.8817 0.1183 0.0000
Sm 0.1838 0.8162 0.8339
Sm 0.8162 0.1838 0.3339
Mn 0.4511 0.5489 0.2351
Mn 0.5489 0.4511 0.7351
S 0.0155 0.9845 0.8252
S 0.3005 0.6995 0.4948
S 0.3154 0.6846 0.1693
S 0.3479 0.6521 0.8250
S 0.4929 0.5071 0.5632
S 0.5071 0.4929 0.0632
S 0.6521 0.3479 0.3250
S 0.6846 0.3154 0.6693
S 0.6995 0.3005 0.9948
S 0.9845 0.0155 0.3252